(1)
Density functional theory data (PBE) for a relaxed PmGePdAu2 crystal.

## Properties
space group	Imm2 (44)
DOS at the Fermi energy	0.4483	states/eV per atom

Structure (extended XYZ):
```
5
Lattice="-0.9230 0.2314 4.0655 2.0375 -3.6570 0.6707 4.3538 4.6231 -1.4187" Properties=species:S:1:pos:R:3 pbc="T T T"
Au 1.5060 1.2817 2.4131
Ge 3.7456 0.1766 2.9845
Au 0.4005 0.2374 0.0774
Pd 3.0520 -0.6236 0.7284
Pm 4.3160 2.5577 0.8343
```

=====

(2)
Density functional theory data (PBE) for a relaxed PmGe2Pd5Au crystal.

## Properties
space group	P4/mmm (123)
DOS at the Fermi energy	0.3431	states/eV per atom

Structure (extended XYZ):
```
9
Lattice="4.1773 0.0000 0.0000 0.0000 4.1773 0.0000 0.0000 0.0000 9.2740" Properties=species:S:1:pos:R:3 pbc="T T T"
Pm 0.0000 0.0000 4.6370
Pd 2.0886 0.0000 6.7885
Pd 0.0000 2.0886 6.7885
Pd 2.0886 0.0000 2.4855
Au 0.0000 0.0000 0.0000
Pd 0.0000 2.0886 2.4855
Ge 2.0886 2.0886 8.0786
Ge 2.0886 2.0886 1.1954
Pd 2.0886 2.0886 4.6370
```

=====

(3)
Density functional theory data (PBE) for a relaxed PmGePdAu crystal.

## Properties
space group	F-43m (216)
DOS at the Fermi energy	0.7763	states/eV per atom
distance to the lowest polymorph of the same formula	184	meV per atom

Structure (extended XYZ):
```
4
Lattice="-2.3668 -3.3377 2.6433 2.3120 -4.0259 1.4752 1.0884 -0.5959 4.7106" Properties=species:S:1:pos:R:3 pbc="T T T"
Pm 0.7752 -5.9696 6.6219
Ge 0.2584 -1.9899 2.2073
Pd 0.0000 0.0000 0.0000
Au 0.5168 -3.9798 4.4146
```

=====

(4)
Density functional theory data (PBE) for a relaxed PmGePdAu crystal.

## Properties
space group	P4/nmm (129)
DOS at the Fermi energy	0.5090	states/eV per atom
distance to the lowest polymorph of the same formula	0	meV per atom

Structure (extended XYZ):
```
8
Lattice="4.1028 0.0000 0.0000 0.0000 4.1028 0.0000 0.0000 0.0000 9.8277" Properties=species:S:1:pos:R:3 pbc="T T T"
Au 2.0514 0.0000 9.1006
Pm 2.0514 0.0000 2.3145
Pd 0.0000 0.0000 4.9139
Pd 2.0514 2.0514 4.9139
Pm 0.0000 2.0514 7.5132
Ge 2.0514 0.0000 6.4023
Ge 0.0000 2.0514 3.4255
Au 0.0000 2.0514 0.7271
```

=====

(5)
Density functional theory data (PBE) for a relaxed Pm2Ge3Pd4Au crystal.

## Properties
space group	P-4m2 (115)
DOS at the Fermi energy	0.5190	states/eV per atom

Structure (extended XYZ):
```
10
Lattice="4.3154 0.0000 0.0000 0.0000 4.3154 0.0000 0.0000 0.0000 10.5463" Properties=species:S:1:pos:R:3 pbc="T T T"
Pm 0.0000 2.1577 7.8633
Pd 2.1577 0.0000 6.8358
Pd 0.0000 0.0000 0.0000
Pd 0.0000 2.1577 3.7104
Pd 2.1577 2.1577 0.0000
Pm 2.1577 0.0000 2.6830
Ge 0.0000 2.1577 1.3012
Au 2.1577 2.1577 5.2731
Ge 0.0000 0.0000 5.2731
Ge 2.1577 0.0000 9.2450
```

=====

(6)
Density functional theory data (PBE) for a relaxed Pm3Ge6Pd2Au crystal.

## Properties
space group	P-3m1 (164)
DOS at the Fermi energy	0.3568	states/eV per atom

Structure (extended XYZ):
```
12
Lattice="5.9346 0.0000 0.0000 -2.9673 5.1395 0.0000 0.0000 0.0000 8.4610" Properties=species:S:1:pos:R:3 pbc="T T T"
Pm 0.0000 0.0000 0.0000
Au 0.0000 0.0000 4.2305
Ge -1.3073 4.1811 2.2743
Pd 0.0000 3.4263 0.0936
Ge 4.2745 0.9584 6.1866
Ge 0.0000 1.9168 2.2743
Ge 1.6600 0.9584 6.1866
Ge 2.9673 3.2227 6.1866
Pm 0.0000 3.4263 5.1165
Ge 1.3073 4.1811 2.2743
Pm 2.9673 1.7132 3.3445
Pd 2.9673 1.7132 8.3674
```

=====

Computed ΔE_f (eV per formula unit) in order:
-2.95, -4.25, -2.32, -3.06, -7.37, -5.06